# 1
{
  "formula": "Tm6BiTe2",
  "functional": "PBE-GGA",
  "state": "relaxed",
  "crystal_system": "monoclinic",
  "n_ef_per_ev_cell": 6.785,
  "raw_formation_energy_ev_per_atom": -0.616,
  "cell": [[6.437, -2.974, 0.000], [6.437, 2.974, 0.000], [-6.158, 0.000, 6.873]],
  "species": ["Tm", "Tm", "Tm", "Tm", "Tm", "Tm", "Bi", "Te", "Te"],
  "frac_coords": [[0.052, 0.052, 0.221], [0.326, 0.326, 0.864], [0.413, 0.413, 0.584], [0.587, 0.587, 0.416], [0.674, 0.674, 0.136], [0.948, 0.948, 0.779], [0.000, 0.000, 0.500], [0.259, 0.259, 0.143], [0.741, 0.741, 0.857]]
}

# 2
{
  "formula": "Ce5Cd2Ru2",
  "functional": "PBE-GGA",
  "state": "relaxed",
  "e_form_mev_per_atom": -113,
  "crystal_system": "orthorhombic",
  "n_ef_per_ev_cell": 45.743,
  "cell": [[-8.108, 4.320, 3.309], [8.108, -4.320, 3.309], [8.108, 4.320, -3.309]],
  "species": ["Ce", "Ce", "Ce", "Ce", "Ce", "Ce", "Ce", "Ce", "Ce", "Ce", "Cd", "Cd", "Cd", "Cd", "Ru", "Ru", "Ru", "Ru"],
  "frac_coords": [[0.132, 0.391, 0.061], [0.132, 0.571, 0.241], [0.214, 0.044, 0.257], [0.214, 0.456, 0.670], [0.330, 0.071, 0.939], [0.330, 0.891, 0.759], [0.420, 0.383, 0.537], [0.786, 0.544, 0.330], [0.786, 0.956, 0.743], [0.846, 0.883, 0.463], [0.644, 0.099, 0.351], [0.644, 0.793, 0.045], [0.748, 0.293, 0.649], [0.748, 0.599, 0.955], [0.303, 0.303, 0.000], [0.303, 0.803, 0.500], [0.882, 0.643, 0.738], [0.905, 0.143, 0.262]]
}

# 3
{
  "formula": "ZnCr2Au",
  "functional": "PBE-GGA",
  "state": "relaxed",
  "e_form_mev_per_atom": 279,
  "crystal_system": "orthorhombic",
  "n_ef_per_ev_cell": 2.348,
  "cell": [[2.747, 0.000, 0.000], [0.000, 4.082, 0.000], [0.000, 0.000, 5.056]],
  "species": ["Zn", "Cr", "Cr", "Au"],
  "frac_coords": [[0.000, 0.000, 0.000], [0.500, 0.500, 0.199], [0.500, 0.500, 0.801], [0.000, 0.000, 0.500]]
}

# 4
{
  "formula": "BeAgRu",
  "functional": "PBE-GGA",
  "state": "relaxed",
  "e_form_mev_per_atom": 219,
  "relative_energy_mev_per_atom": 49,
  "crystal_system": "trigonal",
  "n_ef_per_ev_cell": 1.684,
  "cell": [[2.738, 0.000, 0.000], [-1.369, 2.371, 0.000], [0.000, 0.000, 6.265]],
  "species": ["Be", "Ag", "Ru"],
  "frac_coords": [[0.000, 0.000, 0.000], [0.333, 0.667, 0.674], [0.667, 0.333, 0.279]]
}